1.
This record from the Alexandria database describes Ce8PuZn6 after structural relaxation. The functional is PBE-GGA.

Cell and atoms, written as POSCAR:
```
Ce8PuZn6
1.0
8.7719 0.0000 0.0000
-4.3859 7.5966 0.0000
0.0000 0.0000 5.2273
Ce Pu Zn
8 1 6
Cartesian
-0.8612 1.8999 1.2807
-2.3100 7.3925 1.2807
1.2148 1.6957 3.9467
0.0000 5.0644 1.2366
4.3859 2.5322 3.9907
3.1711 5.9009 1.2807
6.6959 0.2042 3.9467
5.2471 5.6967 3.9467
0.0000 0.0000 2.6137
-1.2741 3.6449 3.8347
-0.5923 6.8776 3.8347
2.5195 2.9258 1.3927
1.8664 4.6708 3.8347
4.9783 0.7190 1.3927
5.6600 3.9518 1.3927
```

Summary:
E_tot: -4.736 eV per atom
Symmetry: No. 147
Volume: 348 Å³ per cell

=====

2.
This record from the Alexandria database describes Ce2PuZn6 after structural relaxation. The functional is PBE-GGA.

Cell and atoms, written as POSCAR:
```
Ce2PuZn6
1.0
8.2105 0.0000 0.0000
-4.1053 7.1105 0.0000
0.0000 0.0000 2.8767
Ce Pu Zn
2 1 6
Cartesian
0.0000 4.7404 0.0000
4.1053 2.3702 0.0000
0.0000 0.0000 0.0000
-1.3411 2.3228 1.4384
-2.7642 4.7877 1.4384
2.6821 0.0000 1.4384
1.3411 2.3228 1.4384
5.5284 0.0000 1.4384
2.7642 4.7877 1.4384
```

Summary:
E_tot: -3.775 eV per atom
Symmetry: No. 191
Volume: 168 Å³ per cell

=====

3.
This record from the Alexandria database describes CePu3Zn8 after structural relaxation. The functional is PBE-GGA.

Cell and atoms, written as POSCAR:
```
CePu3Zn8
1.0
5.5085 0.0000 0.0000
-2.7543 4.7705 0.0000
0.0000 0.0000 8.7064
Ce Pu Zn
1 3 8
Cartesian
0.0000 0.0000 0.0000
0.0000 0.0000 3.3753
2.7543 1.5902 4.3883
2.7543 1.5902 7.6982
-1.3737 2.3872 1.6948
0.0000 1.6028 6.0303
-1.3662 3.9691 6.0303
0.0000 3.1803 3.8584
0.0000 3.1803 8.2168
1.3737 2.3872 1.6948
0.0000 4.7666 1.6948
1.3662 3.9691 6.0303
```

Summary:
E_tot: -5.128 eV per atom
Symmetry: No. 156
Volume: 229 Å³ per cell

=====

Q: What is the volume in the third record?
A: 229 Å³ per cell

=====

Q: Among the records above, which one has the highest volume?
A: Ce8PuZn6

=====

Q: What is the volume in the third record?
A: 229 Å³ per cell